16
Lattice="4.928 0.000 0.000 0.000 4.928 0.000 0.000 0.000 9.723" Properties=species:S:1:pos:R:3 comment="Fe2NF | Alexandria | GGA+U | relaxed" dft_energy_ev_per_atom=-5.976 dos_at_fermi_per_ev_atom=0.00 pbc="T T T"
Fe 0.965 1.232 1.215
Fe 1.232 3.430 3.646
Fe 1.232 3.963 8.508
Fe 1.499 1.232 6.077
Fe 3.430 3.696 6.077
Fe 3.696 0.965 8.508
Fe 3.696 1.499 3.646
Fe 3.963 3.696 1.215
N 0.000 0.000 0.000
N 0.000 2.464 2.431
N 2.464 0.000 7.292
N 2.464 2.464 4.862
F 0.000 0.000 4.862
F 0.000 2.464 7.292
F 2.464 0.000 2.431
F 2.464 2.464 0.000



5
Lattice="4.102 0.000 0.000 0.000 4.102 0.000 0.000 0.000 4.015" Properties=species:S:1:pos:R:3 comment="NbFeN2F | Alexandria | GGA+U | relaxed" e_above_lowest_polymorph_mev_per_atom=0 dos_at_fermi_per_ev_atom=0.26 pbc="T T T"
Nb 0.000 0.000 0.000
Fe 2.051 2.051 2.007
N 0.000 2.051 0.000
N 2.051 0.000 0.000
F 0.000 0.000 2.007



5
Lattice="3.808 0.000 0.000 0.000 3.808 0.000 0.000 0.000 3.566" Properties=species:S:1:pos:R:3 comment="NbFeN2F | Alexandria | GGA+U | relaxed" e_above_lowest_polymorph_mev_per_atom=717 dos_at_fermi_per_ev_atom=0.55 pbc="T T T"
Nb 0.000 0.000 0.000
Fe 1.904 1.904 1.783
N 0.000 1.904 1.783
N 1.904 0.000 1.783
F 1.904 1.904 0.000



5
Lattice="3.788 0.000 0.000 0.000 3.788 0.000 0.000 0.000 3.940" Properties=species:S:1:pos:R:3 comment="FeNiN2F | Alexandria | GGA+U | relaxed" e_above_lowest_polymorph_mev_per_atom=0 dos_at_fermi_per_ev_atom=0.20 pbc="T T T"
Fe 0.000 0.000 0.000
Ni 1.894 1.894 1.970
N 0.000 1.894 0.000
N 1.894 0.000 0.000
F 0.000 0.000 1.970



5
Lattice="3.720 0.000 0.000 0.000 3.720 0.000 0.000 0.000 3.987" Properties=species:S:1:pos:R:3 comment="FeNiN2F | Alexandria | GGA+U | relaxed" e_above_lowest_polymorph_mev_per_atom=8 dos_at_fermi_per_ev_atom=0.45 pbc="T T T"
Fe 0.000 0.000 0.000
Ni 1.860 1.860 1.993
N 0.000 1.860 1.993
N 1.860 0.000 1.993
F 1.860 1.860 0.000



5
Lattice="3.851 0.000 0.000 0.000 3.851 0.000 0.000 0.000 4.131" Properties=species:S:1:pos:R:3 comment="FeNiNF2 | Alexandria | GGA+U | relaxed" e_above_lowest_polymorph_mev_per_atom=42 dos_at_fermi_per_ev_atom=0.19 pbc="T T T"
Fe 0.000 0.000 0.000
Ni 1.926 1.926 2.066
N 0.000 0.000 2.066
F 0.000 1.926 0.000
F 1.926 0.000 0.000



5
Lattice="3.779 0.000 0.000 0.000 3.779 0.000 0.000 0.000 4.107" Properties=species:S:1:pos:R:3 comment="FeNiNF2 | Alexandria | GGA+U | relaxed" e_above_lowest_polymorph_mev_per_atom=0 dos_at_fermi_per_ev_atom=0.36 pbc="T T T"
Fe 0.000 0.000 0.000
Ni 1.890 1.890 2.054
N 1.890 1.890 0.000
F 0.000 1.890 2.054
F 1.890 0.000 2.054



5
Lattice="3.514 0.000 0.000 0.000 3.514 0.000 0.000 0.000 3.854" Properties=species:S:1:pos:R:3 comment="FeN2OF | Alexandria | GGA+U | relaxed" dft_energy_ev_per_atom=-4.189 dos_at_fermi_per_ev_atom=0.30 pbc="T T T"
Fe 0.000 0.000 0.000
N 0.000 1.757 1.927
N 1.757 0.000 1.927
O 1.757 1.757 1.927
F 1.757 1.757 0.000